Record 1
This record from Alexandria via LeMat-Bulk describes a geometry-optimized Y2Ni2Ag structure. The functional is PBE-GGA.

Computed properties:
- Energy above the most stable polymorph in this dataset: 196 meV/atom
- Energy of formation from the pure elements: -0.21 eV/atom

CIF file:
```
data_Y2Ni2Ag
_cell_length_a 5.2174
_cell_length_b 5.2174
_cell_length_c 7.6541
_cell_angle_alpha 90.00
_cell_angle_beta 90.00
_cell_angle_gamma 90.00
_space_group_name_H-M_alt 'I 4/m m m'
_space_group_IT_number 139
_space_group_name_Hall '-I 4 2'
loop_
_atom_site_label
_atom_site_fract_x
_atom_site_fract_y
_atom_site_fract_z
Y1 0.0000 0.5000 0.2500
Ni1 0.0000 0.0000 0.1500
Ag1 0.0000 0.0000 0.5000
```


Record 2
This record from Alexandria via LeMat-Bulk describes a geometry-optimized YNiAg2 structure. The functional is PBE-GGA.

Computed properties:
- Energy of formation from the pure elements: -0.04 eV/atom

CIF file:
```
data_YNiAg2
_cell_length_a 3.3869
_cell_length_b 4.5411
_cell_length_c 5.2622
_cell_angle_alpha 90.00
_cell_angle_beta 105.86
_cell_angle_gamma 90.00
_space_group_name_H-M_alt 'P 1 2/m 1'
_space_group_IT_number 10
_space_group_name_Hall '-P 2y'
loop_
_atom_site_label
_atom_site_fract_x
_atom_site_fract_y
_atom_site_fract_z
Y1 0.0000 0.0000 0.0000
Ni1 0.5000 0.0000 0.5000
Ag1 0.3526 0.5000 0.7226
```


Copy entry 2 word for word.
This record from Alexandria via LeMat-Bulk describes a geometry-optimized YNiAg2 structure. The functional is PBE-GGA.

Computed properties:
- Energy of formation from the pure elements: -0.04 eV/atom

CIF file:
```
data_YNiAg2
_cell_length_a 3.3869
_cell_length_b 4.5411
_cell_length_c 5.2622
_cell_angle_alpha 90.00
_cell_angle_beta 105.86
_cell_angle_gamma 90.00
_space_group_name_H-M_alt 'P 1 2/m 1'
_space_group_IT_number 10
_space_group_name_Hall '-P 2y'
loop_
_atom_site_label
_atom_site_fract_x
_atom_site_fract_y
_atom_site_fract_z
Y1 0.0000 0.0000 0.0000
Ni1 0.5000 0.0000 0.5000
Ag1 0.3526 0.5000 0.7226
```